No. 1
# Sr2CeZrO6

A geometry-optimized Sr2CeZrO6 structure (PBE, Alexandria).

Results
Formation energy from raw total energies in eV per atom: -3.21
Spin magnetization in μB per formula unit: 0.00
Final energy in eV per cell: -159.39
Theoretical density in g/cm³: 5.46

a b c (Å): 5.9439 6.0688 8.4738
angles (deg): 90.00 90.16 90.00
With the nearest neighbours (Å) after each atom.
Fractional positions:
Sr 0.0112 0.9576 0.2505  5 O 2.52-2.82
Sr 0.5112 0.5424 0.7505  5 O 2.52-2.82
Sr 0.9888 0.0424 0.7495  5 O 2.52-2.82
Sr 0.4888 0.4576 0.2495  5 O 2.52-2.82
Ce 0.5000 0.0000 0.0000  6 O 2.26
Ce 0.0000 0.5000 0.5000  6 O 2.26
Zr 0.5000 0.0000 0.5000  6 O 2.13-2.14
Zr 0.0000 0.5000 0.0000  6 O 2.13-2.14
O 0.2864 0.7000 0.0492  1 Zr 2.13, 1 Ce 2.26
O 0.7864 0.8000 0.5492  1 Zr 2.13, 1 Ce 2.26
O 0.7136 0.3000 0.9508  1 Zr 2.13, 1 Ce 2.26
O 0.2136 0.2000 0.4508  1 Zr 2.13, 1 Ce 2.26
O 0.3021 0.7136 0.4481  1 Zr 2.14, 1 Ce 2.26
O 0.8021 0.7864 0.9481  1 Zr 2.14, 1 Ce 2.26
O 0.6979 0.2864 0.5519  1 Zr 2.14, 1 Ce 2.26
O 0.1979 0.2136 0.0519  1 Zr 2.14, 1 Ce 2.26
O 0.9056 0.5338 0.2421  1 Zr 2.14, 1 Ce 2.26
O 0.4056 0.9662 0.7421  1 Zr 2.14, 1 Ce 2.26
O 0.0944 0.4662 0.7579  1 Zr 2.14, 1 Ce 2.26
O 0.5944 0.0338 0.2579  1 Zr 2.14, 1 Ce 2.26


No. 2
# Sc2CrPb

A geometry-optimized Sc2CrPb structure (PBE, Alexandria).

Results
Energy of formation in meV per atom: -36
Spin magnetization in μB per formula unit: 2.32
Final energy in eV per cell: -26.14
Theoretical density in g/cm³: 6.82

a b c (Å): 3.4386 3.4593 7.9355
angles (deg): 64.16 90.00 90.00
With the nearest neighbours (Å) after each atom.
Fractional positions:
Cr 0.5000 0.2500 0.2500  8 Sc 2.89-2.90
Pb 0.5000 0.7500 0.7500  8 Sc 3.16, 4 Pb 3.44-3.46
Sc 0.0000 0.9683 0.0316  4 Cr 2.89-2.90, 1 Sc 3.12, 4 Pb 3.16
Sc 0.0000 0.5317 0.4684  4 Cr 2.89-2.90, 1 Sc 3.12, 4 Pb 3.16


No. 3
# B7C3

A geometry-optimized B7C3 structure (PBE, Alexandria).

Results
Energy of formation in meV per atom: 464
Spin magnetization in μB per formula unit: 0.00
Final energy in eV per cell: -69.77
Theoretical density in g/cm³: 2.60

a b c (Å): 4.5413 4.5413 6.6564
angles (deg): 111.24 111.24 34.15
With the nearest neighbours (Å) after each atom.
Fractional positions:
B 0.1718 0.1718 0.0204  1 C 1.62, 1 B 1.72
B 0.1770 0.1770 0.7649  2 C 1.60, 1 B 1.72
B 0.4674 0.4674 0.8937  2 C 1.54
B 0.4504 0.4504 0.6182  1 C 1.69, 3 B 1.78-1.89
B 0.5498 0.5498 0.3589  3 C 1.57-1.64
B 0.7871 0.7871 0.4961  1 C 1.73, 4 B 1.82-1.91
B 0.7894 0.7894 0.2232  1 C 1.60
C 0.9836 0.9836 0.0152  1 C 1.50, 3 B 1.54-1.62
C 0.6467 0.6467 0.6230  5 B 1.60-1.73
C 0.9768 0.9768 0.2365  1 C 1.50, 3 B 1.57-1.60


No. 4
# CeNp2MnS6

A geometry-optimized CeNp2MnS6 structure (PBE, Alexandria).

Results
Formation energy from raw total energies in eV per atom: -1.24
Spin magnetization in μB per formula unit: 5.47
Final energy in eV per cell: -78.12
Theoretical density in g/cm³: 5.73

a b c (Å): 6.8692 6.8692 7.2827
angles (deg): 61.86 61.86 60.00
With the nearest neighbours (Å) after each atom.
Fractional positions:
Ce 0.8158 0.8158 0.5525  6 S 2.75-2.83
Np 0.5182 0.5182 0.4455  6 S 2.76
Np 0.0149 0.0149 0.9552  6 S 2.74-2.79
Mn 0.3188 0.3188 0.0435  6 S 2.59-2.65
S 0.5960 0.2166 0.2480  1 Mn 2.59, 2 Np 2.76-2.79, 1 Ce 2.83
S 0.2166 0.9394 0.2480  1 Mn 2.59, 2 Np 2.76-2.79, 1 Ce 2.83
S 0.9395 0.5960 0.2480  1 Mn 2.59, 2 Np 2.76-2.79, 1 Ce 2.83
S 0.4157 0.7033 0.7581  1 Mn 2.65, 2 Np 2.74-2.76, 1 Ce 2.75
S 0.7033 0.1229 0.7581  1 Mn 2.65, 2 Np 2.74-2.76, 1 Ce 2.75
S 0.1229 0.4157 0.7581  1 Mn 2.65, 2 Np 2.74-2.76, 1 Ce 2.75


No. 5
# Tb3Y2Tm6Mg

A geometry-optimized Tb3Y2Tm6Mg structure (PBE, Alexandria).

Results
Energy of formation in meV per atom: 33
Spin magnetization in μB per formula unit: 0.00
Final energy in eV per cell: -54.84
Theoretical density in g/cm³: 7.71

a b c (Å): 6.0660 6.0660 11.6175
angles (deg): 95.02 95.02 120.02
With the nearest neighbours (Å) after each atom.
Fractional positions:
Tb 0.1659 0.8341 0.5000  6 Tb 3.49-3.51, 6 Tm 3.50-3.52
Tb 0.8341 0.1659 0.5000  6 Tb 3.49-3.51, 6 Tm 3.50-3.52
Tb 0.5000 0.5000 0.5000  6 Tb 3.50-3.51, 6 Tm 3.51
Y 0.3336 0.6664 0.0000  6 Tm 3.49-3.50, 3 Y 3.50, 3 Mg 3.50-3.51
Y 0.6664 0.3336 0.0000  6 Tm 3.49-3.50, 3 Y 3.50, 3 Mg 3.50-3.51
Tm 0.9175 0.5849 0.7512  1 Mg 3.49, 2 Y 3.49-3.50, 6 Tm 3.50-3.51, 3 Tb 3.51-3.52
Tm 0.7497 0.7497 0.2496  2 Y 3.50, 6 Tm 3.50-3.51, 1 Mg 3.50, 3 Tb 3.50-3.51
Tm 0.0825 0.4151 0.2488  1 Mg 3.49, 2 Y 3.49-3.50, 6 Tm 3.50-3.51, 3 Tb 3.51-3.52
Tm 0.5849 0.9175 0.7512  1 Mg 3.49, 2 Y 3.49-3.50, 6 Tm 3.50-3.51, 3 Tb 3.51-3.52
Tm 0.2503 0.2503 0.7504  2 Y 3.50, 6 Tm 3.50-3.51, 1 Mg 3.50, 3 Tb 3.50-3.51
Tm 0.4151 0.0825 0.2488  1 Mg 3.49, 2 Y 3.49-3.50, 6 Tm 3.50-3.51, 3 Tb 3.51-3.52
Mg 0.0000 0.0000 0.0000  6 Tm 3.49-3.50, 6 Y 3.50-3.51


No. 6
# ZrCr2SnP

A geometry-optimized ZrCr2SnP structure (PBE, Alexandria).

Results
Energy of formation in meV per atom: 362
Spin magnetization in μB per formula unit: 4.03
Final energy in eV per cell: -35.40
Theoretical density in g/cm³: 5.88

a b c (Å): 4.3227 5.2166 4.3227
angles (deg): 90.00 90.00 90.00
With the nearest neighbours (Å) after each atom.
Fractional positions:
Cr 0.0000 0.0000 0.5000  2 P 2.16
Cr 0.5000 0.0000 0.0000  2 P 2.16
Sn 0.0000 0.5000 0.0000  2 P 2.61
Zr 0.5000 0.5000 0.5000  4 Sn 3.06, 8 Cr 3.39
P 0.0000 0.0000 0.0000  4 Cr 2.16


No. 7
# Cs2NpAgO6

A geometry-optimized Cs2NpAgO6 structure (PBE, Alexandria).

Results
Formation energy from raw total energies in eV per atom: -1.71
Spin magnetization in μB per formula unit: 0.00
Final energy in eV per cell: -64.39
Theoretical density in g/cm³: 6.21

a b c (Å): 6.9113 6.9172 5.8390
angles (deg): 65.01 65.04 106.69
With the nearest neighbours (Å) after each atom.
Fractional positions:
Cs 0.2494 0.7490 0.5015  4 O 3.04-3.05
Cs 0.7506 0.2510 0.4985  4 O 3.04-3.05
Np 0.5000 0.5000 0.0000  6 O 1.90-2.08
Ag 0.0000 0.0000 0.0000  4 O 2.05
O 0.3306 0.6725 0.9997  1 Np 1.90
O 0.7552 0.7515 0.9977  1 Ag 2.05, 1 Np 2.08
O 0.2487 0.2493 0.5043  1 Ag 2.05, 1 Np 2.08
O 0.6694 0.3275 0.0003  1 Np 1.90
O 0.2448 0.2485 0.0023  1 Ag 2.05, 1 Np 2.08
O 0.7513 0.7507 0.4957  1 Ag 2.05, 1 Np 2.08


No. 8
# KRb4Br4

A geometry-optimized KRb4Br4 structure (PBE, Alexandria).

Results
Formation energy from raw total energies in eV per atom: -1.52
Spin magnetization in μB per formula unit: 0.09
Final energy in eV per cell: -25.34
Theoretical density in g/cm³: 2.73

a b c (Å): 4.8833 8.6242 11.0496
angles (deg): 75.56 77.23 73.55
With the nearest neighbours (Å) after each atom.
Fractional positions:
K 0.5000 0.0000 0.0000  6 Br 3.41-3.44
Rb 0.6990 0.4064 0.1955  5 Br 3.48-3.53
Rb 0.8967 0.8104 0.3962  4 Br 3.47-3.55
Rb 0.3010 0.5936 0.8045  5 Br 3.48-3.53
Rb 0.1033 0.1896 0.6038  4 Br 3.47-3.55
Br 0.3008 0.1049 0.2936  1 K 3.44, 5 Rb 3.47-3.55
Br 0.6992 0.8951 0.7064  1 K 3.44, 5 Rb 3.47-3.55
Br 0.9047 0.2864 0.9043  2 K 3.41, 4 Rb 3.48-3.53
Br 0.0953 0.7136 0.0957  2 K 3.41, 4 Rb 3.48-3.53


No. 9
# TiSe2O6

A geometry-optimized TiSe2O6 structure (PBE, Alexandria).

Results
Formation energy from raw total energies in eV per atom: -1.46
Spin magnetization in μB per formula unit: 0.00
Final energy in eV per cell: -57.72
Theoretical density in g/cm³: 3.48

a b c (Å): 5.0290 5.0290 7.1854
angles (deg): 69.52 69.52 60.00
With the nearest neighbours (Å) after each atom.
Fractional positions:
Ti 0.6669 0.6669 0.9992  6 O 1.98
Se 0.2370 0.2370 0.2890  3 O 1.73
Se 0.4299 0.4299 0.7102  3 O 1.73
O 0.5606 0.3189 0.1819  1 Se 1.73
O 0.3189 0.9386 0.1819  1 Se 1.73
O 0.9386 0.5606 0.1819  1 Se 1.73
O 0.4392 0.6826 0.8177  1 Se 1.73
O 0.6826 0.0605 0.8177  1 Se 1.73
O 0.0605 0.4392 0.8177  1 Se 1.73


No. 10
# Sm3CuRh8

A geometry-optimized Sm3CuRh8 structure (PBE, Alexandria).

Results
Energy of formation in meV per atom: -476
Spin magnetization in μB per formula unit: 0.00
Final energy in eV per cell: -82.77
Theoretical density in g/cm³: 10.36

a b c (Å): 5.3297 5.3297 9.2458
angles (deg): 73.25 73.25 60.00
With the nearest neighbours (Å) after each atom.
Fractional positions:
Sm 0.6231 0.6231 0.1306  12 Rh 3.13-3.16, 4 Sm 3.38-3.41
Sm 0.0095 0.0095 0.9714  9 Rh 3.00-3.19, 1 Cu 3.32
Sm 0.4928 0.4928 0.5215  12 Rh 2.98-3.19, 3 Cu 3.14
Cu 0.1364 0.1364 0.5907  6 Rh 2.82-3.08, 3 Sm 3.14
Rh 0.5624 0.0612 0.8140  6 Rh 2.64-2.69
Rh 0.0603 0.5599 0.3196  6 Rh 2.66-2.68, 1 Cu 2.82
Rh 0.5624 0.5624 0.8140  6 Rh 2.64-2.69
Rh 0.0603 0.0603 0.3196  6 Rh 2.66-2.68, 1 Cu 2.82
Rh 0.8107 0.8107 0.5680  6 Rh 2.64-2.66
Rh 0.3109 0.3109 0.0672  6 Rh 2.68-2.69
Rh 0.0612 0.5624 0.8140  6 Rh 2.64-2.69
Rh 0.5599 0.0603 0.3196  6 Rh 2.66-2.68, 1 Cu 2.82


No. 11
# SrBF4

A geometry-optimized SrBF4 structure (PBE, Alexandria).

Results
Formation energy from raw total energies in eV per atom: -2.76
Spin magnetization in μB per formula unit: 0.00
Final energy in eV per cell: -64.82
Theoretical density in g/cm³: 2.54

a b c (Å): 6.7397 6.7397 6.7397
angles (deg): 104.01 104.01 121.06
With the nearest neighbours (Å) after each atom.
Fractional positions:
Sr 0.0000 0.0000 0.0000  4 F 2.71
Sr 0.7500 0.2500 0.5000  4 F 2.71
B 0.2500 0.7500 0.5000  4 F 1.42
B 0.5000 0.5000 0.0000  4 F 1.42
F 0.2423 0.8793 0.3630  1 B 1.42
F 0.5163 0.8793 0.6370  1 B 1.42
F 0.6293 0.7663 0.1370  1 B 1.42
F 0.5077 0.3707 0.1370  1 B 1.42
F 0.6293 0.4923 0.8630  1 B 1.42
F 0.1207 0.4837 0.3630  1 B 1.42
F 0.2337 0.3707 0.8630  1 B 1.42
F 0.1207 0.7577 0.6370  1 B 1.42


No. 12
# Mn2Sb

A geometry-optimized Mn2Sb structure (PBE, Alexandria).

Results
Formation energy from raw total energies in eV per atom: 0.35
Spin magnetization in μB per formula unit: 0.00
Final energy in eV per cell: -42.83
Theoretical density in g/cm³: 8.64

a b c (Å): 3.9006 3.9006 6.7549
angles (deg): 90.00 90.00 120.00
With the nearest neighbours (Å) after each atom.
Fractional positions:
Mn 0.6667 0.3333 0.4524  3 Mn 2.34
Mn 0.3333 0.6667 0.9524  3 Mn 2.34
Mn 0.3333 0.6667 0.5476  3 Mn 2.34
Mn 0.6667 0.3333 0.0476  3 Mn 2.34
Sb 0.0000 0.0000 0.2500  6 Mn 2.63
Sb 0.0000 0.0000 0.7500  6 Mn 2.63